Record 1
A plane-wave DFT calculation with GGA-PBE was carried out for a relaxed CsNa2Tl2 crystal.

Values from the calculation:
- Total magnetic moment: 0.00 μB/cell
- Calculated formation energy: -0.05 eV/atom
- Polymorph energy (0 for the lowest one): 0.0 meV per atom
- Fermi-level density of states: 2.78 states/eV/f.u.

CIF file:
```
data_CsNa2Tl2
_chemical_formula_sum 'Cs1 Na2 Tl2'
_space_group_name_H-M_alt 'P 1'
_space_group_IT_number 1
_cell_length_a 10.202
_cell_length_b 10.202
_cell_length_c 4.356
_cell_angle_alpha 90.00
_cell_angle_beta 90.00
_cell_angle_gamma 152.08
loop_
_space_group_symop_operation_xyz
'x,y,z'
loop_
_atom_site_label
_atom_site_type_symbol
_atom_site_fract_x
_atom_site_fract_y
_atom_site_fract_z
Cs1 Cs 0.000 0.000 0.000
Na1 Na 0.329 0.671 0.500
Na2 Na 0.671 0.329 0.500
Tl1 Tl 0.194 0.806 0.000
Tl2 Tl 0.806 0.194 0.000
```



Record 2
A plane-wave DFT calculation with GGA-PBE was carried out for a relaxed Sr2AlCr crystal.

Values from the calculation:
- Total magnetic moment: 0.56 μB/cell
- Calculated formation energy: 1.08 eV/atom
- Fermi-level density of states: 5.37 states/eV/f.u.

CIF file:
```
data_Sr2AlCr
_chemical_formula_sum 'Sr4 Al2 Cr2'
_space_group_name_H-M_alt 'P 1'
_space_group_IT_number 1
_cell_length_a 6.801
_cell_length_b 6.801
_cell_length_c 6.801
_cell_angle_alpha 101.53
_cell_angle_beta 101.53
_cell_angle_gamma 126.89
loop_
_space_group_symop_operation_xyz
'x,y,z'
loop_
_atom_site_label
_atom_site_type_symbol
_atom_site_fract_x
_atom_site_fract_y
_atom_site_fract_z
Sr1 Sr 0.101 0.625 0.976
Sr2 Sr 0.375 0.351 0.476
Sr3 Sr 0.649 0.125 0.024
Sr4 Sr 0.875 0.899 0.524
Al1 Al 0.250 0.750 0.500
Al2 Al 0.500 0.500 0.000
Cr1 Cr 0.000 0.000 0.000
Cr2 Cr 0.750 0.250 0.500
```



Record 3
A plane-wave DFT calculation with GGA-PBE was carried out for a relaxed ScAuSeF2 crystal.

Values from the calculation:
- Formation energy (no corrections): -2.243 eV per atom
- Total magnetic moment: 0.00 μB/cell
- Fermi-level density of states: 1.13 states/eV/f.u.

CIF file:
```
data_ScAuSeF2
_chemical_formula_sum 'Sc1 Au1 Se1 F2'
_space_group_name_H-M_alt 'P 1'
_space_group_IT_number 1
_cell_length_a 3.997
_cell_length_b 3.997
_cell_length_c 5.636
_cell_angle_alpha 90.00
_cell_angle_beta 90.00
_cell_angle_gamma 90.00
loop_
_space_group_symop_operation_xyz
'x,y,z'
loop_
_atom_site_label
_atom_site_type_symbol
_atom_site_fract_x
_atom_site_fract_y
_atom_site_fract_z
Sc1 Sc 0.000 0.000 0.000
Au1 Au 0.500 0.500 0.500
Se1 Se 0.000 0.000 0.500
F1 F 0.000 0.500 0.000
F2 F 0.500 0.000 0.000
```



Record 4
A plane-wave DFT calculation with GGA-PBE was carried out for a relaxed LaTl2InCo crystal.

Values from the calculation:
- Total magnetic moment: 0.00 μB/cell
- Calculated formation energy: -0.15 eV/atom
- Fermi-level density of states: 2.87 states/eV/f.u.

CIF file:
```
data_LaTl2InCo
_chemical_formula_sum 'La1 Tl2 In1 Co1'
_space_group_name_H-M_alt 'P 1'
_space_group_IT_number 1
_cell_length_a 5.151
_cell_length_b 5.151
_cell_length_c 5.021
_cell_angle_alpha 90.00
_cell_angle_beta 90.00
_cell_angle_gamma 90.00
loop_
_space_group_symop_operation_xyz
'x,y,z'
loop_
_atom_site_label
_atom_site_type_symbol
_atom_site_fract_x
_atom_site_fract_y
_atom_site_fract_z
La1 La 0.000 0.000 0.000
Tl1 Tl 0.000 0.500 0.500
Tl2 Tl 0.500 0.000 0.500
In1 In 0.500 0.500 0.000
Co1 Co 0.000 0.000 0.500
```



Record 5
A plane-wave DFT calculation with GGA-PBE was carried out for a relaxed LuPu2Ga crystal.

Values from the calculation:
- Total magnetic moment: 11.70 μB/cell
- Calculated formation energy: -0.17 eV/atom
- Polymorph energy (0 for the lowest one): 0.0 meV per atom
- Fermi-level density of states: 8.78 states/eV/f.u.

CIF file:
```
data_LuPu2Ga
_chemical_formula_sum 'Lu1 Pu2 Ga1'
_space_group_name_H-M_alt 'P 1'
_space_group_IT_number 1
_cell_length_a 4.369
_cell_length_b 4.369
_cell_length_c 4.964
_cell_angle_alpha 90.00
_cell_angle_beta 90.00
_cell_angle_gamma 90.00
loop_
_space_group_symop_operation_xyz
'x,y,z'
loop_
_atom_site_label
_atom_site_type_symbol
_atom_site_fract_x
_atom_site_fract_y
_atom_site_fract_z
Lu1 Lu 0.000 0.000 0.000
Pu1 Pu 0.000 0.500 0.500
Pu2 Pu 0.500 0.000 0.500
Ga1 Ga 0.500 0.500 0.000
```



Record 6
A plane-wave DFT calculation with GGA-PBE was carried out for a relaxed La2TaSi crystal.

Values from the calculation:
- Formation energy (no corrections): 0.139 eV per atom
- Total magnetic moment: 0.00 μB/cell
- Fermi-level density of states: 4.01 states/eV/f.u.

CIF file:
```
data_La2TaSi
_chemical_formula_sum 'La2 Ta1 Si1'
_space_group_name_H-M_alt 'P 1'
_space_group_IT_number 1
_cell_length_a 5.628
_cell_length_b 5.628
_cell_length_c 3.247
_cell_angle_alpha 90.00
_cell_angle_beta 90.00
_cell_angle_gamma 108.88
loop_
_space_group_symop_operation_xyz
'x,y,z'
loop_
_atom_site_label
_atom_site_type_symbol
_atom_site_fract_x
_atom_site_fract_y
_atom_site_fract_z
La1 La 0.000 0.500 0.000
La2 La 0.500 0.000 0.000
Ta1 Ta 0.000 0.000 0.500
Si1 Si 0.500 0.500 0.500
```



Record 7
A plane-wave DFT calculation with GGA-PBE was carried out for a relaxed Cr3W crystal.

Values from the calculation:
- Total magnetic moment: 0.00 μB/cell
- Calculated formation energy: 0.49 eV/atom
- Fermi-level density of states: 5.16 states/eV/f.u.

CIF file:
```
data_Cr3W
_chemical_formula_sum 'Cr3 W1'
_space_group_name_H-M_alt 'P 1'
_space_group_IT_number 1
_cell_length_a 2.769
_cell_length_b 2.769
_cell_length_c 7.966
_cell_angle_alpha 90.00
_cell_angle_beta 90.00
_cell_angle_gamma 120.00
loop_
_space_group_symop_operation_xyz
'x,y,z'
loop_
_atom_site_label
_atom_site_type_symbol
_atom_site_fract_x
_atom_site_fract_y
_atom_site_fract_z
Cr1 Cr 0.000 0.000 0.000
Cr2 Cr 0.667 0.333 0.221
Cr3 Cr 0.667 0.333 0.779
W1 W 0.000 0.000 0.500
```



Record 8
A plane-wave DFT calculation with GGA-PBE was carried out for a relaxed SmDyEr crystal.

Values from the calculation:
- Total magnetic moment: 0.01 μB/cell
- Calculated formation energy: 0.84 eV/atom
- Polymorph energy (0 for the lowest one): 847.8 meV per atom
- Fermi-level density of states: 4.57 states/eV/f.u.

CIF file:
```
data_SmDyEr
_chemical_formula_sum 'Sm1 Dy1 Er1'
_space_group_name_H-M_alt 'P 1'
_space_group_IT_number 1
_cell_length_a 4.314
_cell_length_b 4.314
_cell_length_c 6.024
_cell_angle_alpha 90.00
_cell_angle_beta 90.00
_cell_angle_gamma 90.00
loop_
_space_group_symop_operation_xyz
'x,y,z'
loop_
_atom_site_label
_atom_site_type_symbol
_atom_site_fract_x
_atom_site_fract_y
_atom_site_fract_z
Sm1 Sm 0.000 0.000 0.000
Dy1 Dy 0.500 0.500 0.500
Er1 Er 0.500 0.500 0.000
```



Record 9
A plane-wave DFT calculation with GGA-PBE was carried out for a relaxed Ba3ZnPd3 crystal.

Values from the calculation:
- Total magnetic moment: 0.00 μB/cell
- Calculated formation energy: -0.51 eV/atom
- Fermi-level density of states: 2.68 states/eV/f.u.

CIF file:
```
data_Ba3ZnPd3
_chemical_formula_sum 'Ba6 Zn2 Pd6'
_space_group_name_H-M_alt 'P 1'
_space_group_IT_number 1
_cell_length_a 6.394
_cell_length_b 6.394
_cell_length_c 15.973
_cell_angle_alpha 110.00
_cell_angle_beta 110.00
_cell_angle_gamma 41.97
loop_
_space_group_symop_operation_xyz
'x,y,z'
loop_
_atom_site_label
_atom_site_type_symbol
_atom_site_fract_x
_atom_site_fract_y
_atom_site_fract_z
Ba1 Ba 0.029 0.029 0.385
Ba2 Ba 0.099 0.099 0.923
Ba3 Ba 0.247 0.247 0.234
Ba4 Ba 0.753 0.753 0.766
Ba5 Ba 0.901 0.901 0.077
Ba6 Ba 0.971 0.971 0.615
Zn1 Zn 0.257 0.257 0.591
Zn2 Zn 0.743 0.743 0.409
Pd1 Pd 0.361 0.361 0.459
Pd2 Pd 0.392 0.392 0.921
Pd3 Pd 0.441 0.441 0.756
Pd4 Pd 0.559 0.559 0.244
Pd5 Pd 0.608 0.608 0.079
Pd6 Pd 0.639 0.639 0.541
```



Record 10
A plane-wave DFT calculation with GGA-PBE was carried out for a relaxed LiPmSe2 crystal.

Values from the calculation:
- Formation energy (no corrections): -1.614 eV per atom
- Total magnetic moment: 0.00 μB/cell

CIF file:
```
data_LiPmSe2
_chemical_formula_sum 'Li1 Pm1 Se2'
_space_group_name_H-M_alt 'P 1'
_space_group_IT_number 1
_cell_length_a 7.379
_cell_length_b 7.379
_cell_length_c 7.379
_cell_angle_alpha 32.62
_cell_angle_beta 32.62
_cell_angle_gamma 32.62
loop_
_space_group_symop_operation_xyz
'x,y,z'
loop_
_atom_site_label
_atom_site_type_symbol
_atom_site_fract_x
_atom_site_fract_y
_atom_site_fract_z
Li1 Li 0.000 0.000 0.000
Pm1 Pm 0.179 0.179 0.179
Se1 Se 0.596 0.596 0.596
Se2 Se 0.766 0.766 0.766
```